Record 1
A plane-wave DFT calculation with PBE was carried out for an optimized crystal structure of Ac8LaY5.

Output
DFT total energy, eV per formula unit: -66.63
M_tot, μB per atom: 0.00
DFT formation energy, eV/atom: 0.249
SG: I-4 (82)
Density of states at the Fermi level, states/eV per atom: 1.53

Unit cell a=9.0766 b=9.0766 c=9.0766 alpha=111.52 beta=111.52 gamma=105.45
With the nearest neighbours (Å) after each atom.
Fractional coordinates of all 14 atoms:
Ac: 0.0906 0.6808 0.7729  1 La 3.38, 4 Y 3.44-3.69
Ac: 0.1731 0.2770 0.7585  5 Y 3.57-3.90, 3 Ac 3.80-3.90
Ac: 0.3192 0.0921 0.4098  1 La 3.38, 4 Y 3.44-3.69
Ac: 0.5185 0.4145 0.2415  5 Y 3.57-3.90, 3 Ac 3.80-3.90
Ac: 0.5855 0.8269 0.1039  5 Y 3.57-3.90, 3 Ac 3.80-3.90
Ac: 0.6823 0.9094 0.5902  1 La 3.38, 4 Y 3.44-3.69
Ac: 0.7230 0.4815 0.8961  5 Y 3.57-3.90, 3 Ac 3.80-3.90
Ac: 0.9079 0.3177 0.2271  1 La 3.38, 4 Y 3.44-3.69
La: 0.0000 0.0000 0.0000  4 Ac 3.38
Y: 0.2170 0.6261 0.1979  8 Ac 3.56-3.90, 2 Y 3.60
Y: 0.3739 0.5718 0.5909  8 Ac 3.56-3.90, 2 Y 3.60
Y: 0.4282 0.0191 0.8021  8 Ac 3.56-3.90, 2 Y 3.60
Y: 0.7500 0.2500 0.5000  8 Ac 3.44-3.57
Y: 0.9809 0.7830 0.4091  8 Ac 3.56-3.90, 2 Y 3.60

=====

Record 2
A plane-wave DFT calculation with PBE was carried out for an optimized crystal structure of Sc2BePdN.

Output
DFT total energy, eV per formula unit: -34.84
M_tot, μB per atom: 0.00
SG: P4/mmm (123)
Density of states at the Fermi level, states/eV per atom: 0.61
Formation energy without anion corrections, eV per atom: -0.99

Unit cell a=4.5349 b=4.5349 c=3.3864 alpha=90.00 beta=90.00 gamma=90.00
With the nearest neighbours (Å) after each atom.
Fractional coordinates of all 5 atoms:
Sc: 0.0000 0.5000 0.0000  2 N 2.27
Sc: 0.5000 0.0000 0.0000  2 N 2.27
Be: 0.0000 0.0000 0.5000  2 N 1.69
Pd: 0.5000 0.5000 0.5000  8 Sc 2.83
N: 0.0000 0.0000 0.0000  2 Be 1.69

=====

Record 3
A plane-wave DFT calculation with PBE was carried out for an optimized crystal structure of CeNpSi4.

Output
DFT total energy, eV per formula unit: -42.70
M_tot, μB per atom: 0.21
SG: Pbam (55)
Density of states at the Fermi level, states/eV per atom: 1.32
Distance to the lowest polymorph of the same formula, meV per atom: 0
Formation energy without anion corrections, eV per atom: -0.36

Unit cell a=6.9428 b=16.5603 c=3.9428 alpha=90.00 beta=90.00 gamma=90.00
With the nearest neighbours (Å) after each atom.
Fractional coordinates of all 24 atoms:
Ce: 0.0899 0.1846 0.0000  12 Si 3.01-3.19
Ce: 0.4101 0.6846 0.0000  12 Si 3.01-3.19
Ce: 0.5899 0.3154 0.0000  12 Si 3.01-3.19
Ce: 0.9101 0.8154 0.0000  12 Si 3.01-3.19
Np: 0.0853 0.4369 0.0000  1 Np 2.40
Np: 0.4148 0.9369 0.0000  1 Np 2.40
Np: 0.5853 0.0631 0.0000  1 Np 2.40
Np: 0.9148 0.5631 0.0000  1 Np 2.40
Si: 0.0762 0.6839 0.5000  3 Si 2.30-2.40
Si: 0.0885 0.9302 0.5000  3 Si 2.30-2.52
Si: 0.2278 0.5535 0.5000  3 Si 2.40-2.52
Si: 0.2458 0.8078 0.5000  3 Si 2.30-2.37
Si: 0.2542 0.3078 0.5000  3 Si 2.30-2.37
Si: 0.2722 0.0535 0.5000  3 Si 2.40-2.52
Si: 0.4115 0.4302 0.5000  3 Si 2.30-2.52
Si: 0.4238 0.1839 0.5000  3 Si 2.30-2.40
Si: 0.5762 0.8161 0.5000  3 Si 2.30-2.40
Si: 0.5885 0.5698 0.5000  3 Si 2.30-2.52
Si: 0.7278 0.9465 0.5000  3 Si 2.40-2.52
Si: 0.7458 0.6922 0.5000  3 Si 2.30-2.37
Si: 0.7542 0.1922 0.5000  3 Si 2.30-2.37
Si: 0.7722 0.4465 0.5000  3 Si 2.40-2.52
Si: 0.9115 0.0698 0.5000  3 Si 2.30-2.52
Si: 0.9238 0.3161 0.5000  3 Si 2.30-2.40